First-principles (GGA-PBEsol) data for crystalline LiSmO2 at its relaxed geometry, as listed in the Alexandria database.

Geometry as CIF:
```
data_LiSmO2
_cell_length_a 5.6657
_cell_length_b 5.9686
_cell_length_c 5.6191
_cell_angle_alpha 90.00
_cell_angle_beta 103.21
_cell_angle_gamma 90.00
_symmetry_space_group_name_H-M 'P 1 21/c 1'
_symmetry_Int_Tables_number 14
_symmetry_space_group_name_Hall '-P 2ybc'
loop_
_atom_site_label
_atom_site_type_symbol
_atom_site_fract_x
_atom_site_fract_y
_atom_site_fract_z
Li1 Li 0.1591 0.1381 0.1660
Sm1 Sm 0.2991 0.5692 0.1944
O1 O 0.0702 0.6334 0.7918
O2 O 0.4162 0.2391 0.9825
```

ρ = 6.80 g/cm³
Formation energy (no corrections) = -2.88 eV per atom